1.
Here is a relaxed SrScBr2 crystal from Alexandria. Energies are from PBE.

Output
formation energy from raw total energies = -0.977 eV/atom
DOS at the Fermi energy = 0.79 states/eV per atom
polymorph energy (0 for the lowest one) = 0.140 eV per atom

Unit cell a=5.2945 b=3.7667 c=11.5062 alpha=90.00 beta=90.00 gamma=90.00
Closest atoms and distances in Å follow each position.
Space group Amm2 (No. 38)
Symmetry-distinct sites (fractional):
Sr1 0.0000 0.0000 0.0000 (multiplicity 2)  7 Br 3.17-3.47
Sc1 0.5000 0.0000 0.3031 (multiplicity 2)  4 Br 2.66-2.94
Br1 0.0000 0.0000 0.2781 (multiplicity 2)  2 Sc 2.66
Br2 0.5000 0.0000 0.6068 (multiplicity 2)  2 Sc 2.94

***

2.
Here is a relaxed AgSeO2 crystal from Alexandria. Energies are from PBE.

Output
formation energy from raw total energies = -0.037 eV/atom
DOS at the Fermi energy = 0.28 states/eV per atom

Unit cell a=3.3386 b=3.3386 c=18.7493 alpha=90.00 beta=90.00 gamma=120.00
Closest atoms and distances in Å follow each position.
Space group R-3m (No. 166, hexagonal axes)
Symmetry-distinct sites (fractional):
Ag1 0.0000 0.0000 0.0000 (multiplicity 3)  2 O 2.12
Se1 0.0000 0.0000 0.5000 (multiplicity 3)  6 O 2.17
O1 0.0000 0.0000 0.1133 (multiplicity 6)  1 Ag 2.12, 3 Se 2.17

***

3.
Here is a relaxed TaBiIO4 crystal from Alexandria. Energies are from PBE.

Output
formation energy from raw total energies = -1.738 eV/atom

Unit cell a=12.1821 b=6.9565 c=7.1940 alpha=90.00 beta=104.30 gamma=90.00
Closest atoms and distances in Å follow each position.
Space group C2/m (No. 12)
Symmetry-distinct sites (fractional):
Ta1 0.1289 0.0000 0.2633 (multiplicity 4)  4 O 1.86-1.88
Bi1 0.2165 0.0000 0.8361 (multiplicity 4)  4 O 2.19-2.37
I1 0.0235 0.5000 0.6914 (multiplicity 4)  1 I 2.67
O1 0.0281 0.0000 0.7810 (multiplicity 4)  1 Ta 1.86
O2 0.1797 0.2087 0.1412 (multiplicity 8)  1 Ta 1.88
O3 0.1966 0.0000 0.5257 (multiplicity 4)  1 Ta 1.86